No. 1
Compound: BaYI5
Source: Alexandria
Functional: PBE
Structure: relaxed

The structure belongs to space group C2/c (No. 15); the cell edges are 6.456, 21.914 and 7.808 Å and the angles 90.00°, 93.58° and 90.00°. The inequivalent atoms are Ba at (0.000, 0.172, 0.250), Y at (0.000, 0.423, 0.250), I at (0.000, 0.131, 0.750), I at (0.004, 0.311, 0.997) and I at (0.244, 0.469, 0.596).

For the volume, the calculation gives 1102 Å³ per cell. The calculation puts the uncorrected formation energy at -1.474 eV per atom. The calculation puts the density of states at the Fermi level at 0.0 states/eV/f.u. The polymorph energy (0 for the lowest one) is 23 meV/atom. For the total energy, the calculation gives -3.780 eV per atom. For the magnetic moment, the calculation gives 0.000 μB/atom.

***

No. 2
Compound: BaZn2I
Source: Alexandria
Functional: PBE
Structure: relaxed

The structure belongs to space group Fm-3m (No. 225); the cell edges are 8.048, 8.048 and 8.048 Å and the angles 90.00°, 90.00° and 90.00°. The inequivalent atoms are Ba at (0.000, 0.000, 0.000), Zn at (0.250, 0.250, 0.250) and I at (0.000, 0.000, 0.500).

For the volume, the calculation gives 521 Å³ per cell. The calculation puts the uncorrected formation energy at -0.214 eV per atom. The calculation puts the density of states at the Fermi level at 2.7 states/eV/f.u. The polymorph energy (0 for the lowest one) is 68 meV/atom. For the total energy, the calculation gives -1.720 eV per atom. For the magnetic moment, the calculation gives 0.000 μB/atom.

***

No. 3
Compound: Ba2ZnI
Source: Alexandria
Functional: PBE
Structure: relaxed

The structure belongs to space group I-42d (No. 122); the cell edges are 8.957, 8.957 and 9.462 Å and the angles 90.00°, 90.00° and 90.00°. The inequivalent atoms are Ba at (0.227, 0.750, 0.125), Zn at (0.000, 0.000, 0.000) and I at (0.000, 0.000, 0.500).

For the volume, the calculation gives 759 Å³ per cell. The calculation puts the uncorrected formation energy at -0.538 eV per atom. The calculation puts the density of states at the Fermi level at 3.9 states/eV/f.u. The polymorph energy (0 for the lowest one) is 187 meV/atom. For the total energy, the calculation gives -2.205 eV per atom. For the magnetic moment, the calculation gives 0.000 μB/atom.

***

No. 4
Compound: Ba5Zn2I
Source: Alexandria
Functional: PBE
Structure: relaxed

The structure belongs to space group I4/mcm (No. 140); the cell edges are 9.534, 9.534 and 15.273 Å and the angles 90.00°, 90.00° and 90.00°. The inequivalent atoms are Ba at (0.000, 0.000, 0.000), Ba at (0.154, 0.346, 0.137), Zn at (0.135, 0.365, 0.500) and I at (0.000, 0.000, 0.250).

For the volume, the calculation gives 1388 Å³ per cell. The calculation puts the uncorrected formation energy at -0.381 eV per atom. The calculation puts the density of states at the Fermi level at 10.1 states/eV/f.u. For the total energy, the calculation gives -2.095 eV per atom. For the magnetic moment, the calculation gives 0.000 μB/atom.